A relaxed structure of Ba2Al4Cd3Pb. Source: Alexandria, functional PBE.

Summary:
Symmetry: P-4m2, No. 115
Total DFT energy (no corrections) in eV per atom: -2.73
D(E_F) in states/eV per atom: 0.56
Formation energy in meV/atom: -205
M_tot in μB per formula unit: 0.00

abc: 4.7951 4.7951 11.7554
angles: 90.00 90.00 90.00
Atoms (fractional coordinates):
Ba: 0.0000 0.5000 0.2443
Ba: 0.5000 0.0000 0.7557
Al: 0.0000 0.0000 0.0000
Al: 0.0000 0.5000 0.6406
Al: 0.5000 0.0000 0.3594
Al: 0.5000 0.5000 0.0000
Cd: 0.0000 0.5000 0.8730
Cd: 0.5000 0.0000 0.1270
Cd: 0.5000 0.5000 0.5000
Pb: 0.0000 0.0000 0.5000